Computed, not measured: crystalline YNi2 at its relaxed geometry at the GGA-PBE level of DFT.

Properties
Space group ... Cm
Total moment ... 0.00 μB/f.u.
Mass density ... 7.1 g/cm³
Formation enthalpy at 0 K ... -199 meV per atom
Total DFT energy (no corrections) ... -6.208 eV/atom

Cell: 4.818 4.818 5.509 Å, 103.35 103.35 51.81°
Fractional positions:
Y1 0.000 0.000 0.000
Y2 0.722 0.722 0.399
Ni1 0.049 0.049 0.542
Ni2 0.360 0.360 0.198
Ni3 0.362 0.362 0.698
Ni4 0.673 0.673 0.857

Computed, not measured: crystalline ZnAgRu4 at its relaxed geometry at the GGA-PBE level of DFT.

Properties
Space group ... F-43m
Total moment ... 2.36 μB/f.u.
Mass density ... 10.1 g/cm³
Formation enthalpy at 0 K ... 608 meV per atom
Total DFT energy (no corrections) ... -6.263 eV/atom

Cell: 5.126 5.126 5.126 Å, 60.00 60.00 60.00°
Fractional positions:
Zn1 0.000 0.000 0.000
Ag1 0.250 0.250 0.250
Ru1 0.125 0.625 0.625
Ru2 0.625 0.125 0.625
Ru3 0.625 0.625 0.125
Ru4 0.625 0.625 0.625